Entry 1:
The following is a GGA-PBE calculation of a relaxed structure of Tm3Pb2C, from Alexandria.

Its calculated total energy is -5.2749 eV per atom.

The space group is C2/c (No. 15) and the conventional cell measures 8.3865, 11.5218 and 6.4800 Å, with angles of 90.00, 107.09 and 90.00 degrees. The asymmetric unit holds Tm at (0.1608, 0.0712, 0.4992), Tm at (0.2500, 0.2500, 0.0000), Pb at (0.0000, 0.2935, 0.2500), Pb at (0.0000, 0.4353, 0.7500) and C at (0.0000, 0.0680, 0.7500).

=====

Entry 2:
The following is a GGA-PBE calculation of a relaxed structure of Li2PmH8Ir, from Alexandria.

Its calculated total energy is -4.1650 eV per atom.

The space group is P-3 (No. 147) and the conventional cell measures 4.4556, 4.4556 and 6.1360 Å, with angles of 90.00, 90.00 and 120.00 degrees. The asymmetric unit holds Li at (0.3333, 0.6667, 0.1244), Pm at (0.0000, 0.0000, 0.5000), H at (0.1659, 0.3469, 0.8365), H at (0.3333, 0.6667, 0.4526) and Ir at (0.0000, 0.0000, 0.0000).

=====

Entry 3:
The following is a GGA-PBE calculation of a relaxed structure of Hf2Be7Co, from Alexandria.

Its calculated total energy is -5.5086 eV per atom.

The space group is P-4m2 (No. 115) and the conventional cell measures 3.5452, 3.5452 and 8.7909 Å, with angles of 90.00, 90.00 and 90.00 degrees. The asymmetric unit holds Hf at (0.0000, 0.5000, 0.2446), Be at (0.0000, 0.0000, 0.0000), Be at (0.0000, 0.5000, 0.6405), Be at (0.0000, 0.5000, 0.8784), Be at (0.5000, 0.5000, 0.0000), Be at (0.5000, 0.5000, 0.5000) and Co at (0.0000, 0.0000, 0.5000).

=====

Entry 4:
The following is a GGA-PBE calculation of a relaxed structure of Li2LaCl, from Alexandria.

For the raw formation energy, the calculation gives -0.35 eV per atom.

The space group is I-4m2 (No. 119) and the conventional cell measures 5.1437, 5.1437 and 7.3155 Å, with angles of 90.00, 90.00 and 90.00 degrees. The asymmetric unit holds Li at (0.0000, 0.0000, 0.0000), Li at (0.0000, 0.5000, 0.2500), La at (0.0000, 0.0000, 0.5000) and Cl at (0.0000, 0.5000, 0.7500).